[1]
Density functional theory data (PBE-GGA) for an optimized crystal structure of ZnAg2Au.

CIF file:
```
data_ZnAg2Au
_cell_length_a 5.7256
_cell_length_b 8.1983
_cell_length_c 2.9339
_cell_angle_alpha 90.00
_cell_angle_beta 90.00
_cell_angle_gamma 90.00
_symmetry_space_group_name_H-M 'C m m m'
_symmetry_Int_Tables_number 65
_symmetry_space_group_name_Hall '-C 2 2'
loop_
_atom_site_label
_atom_site_fract_x
_atom_site_fract_y
_atom_site_fract_z
Zn1 0.0000 0.0000 0.0000
Ag1 0.2500 0.2500 0.5000
Au1 0.0000 0.5000 0.0000
```

Output
total magnetization: 0.0 Bohr magnetons per cell
crystal system: orthorhombic
DFT formation energy: -0.046 eV/atom
energy: -2.610 eV/atom
calculated volume: 69 Å³/f.u.

***

[2]
Density functional theory data (PBE-GGA) for an optimized crystal structure of ScNbPd.

CIF file:
```
data_ScNbPd
_cell_length_a 4.5331
_cell_length_b 14.8110
_cell_length_c 3.2417
_cell_angle_alpha 90.00
_cell_angle_beta 90.00
_cell_angle_gamma 90.00
_symmetry_space_group_name_H-M 'C m m m'
_symmetry_Int_Tables_number 65
_symmetry_space_group_name_Hall '-C 2 2'
loop_
_atom_site_label
_atom_site_fract_x
_atom_site_fract_y
_atom_site_fract_z
Sc1 0.0000 0.1710 0.0000
Nb1 0.0000 0.0000 0.5000
Nb2 0.0000 0.5000 0.0000
Pd1 0.0000 0.3359 0.5000
```

Output
total magnetization: 0.0 Bohr magnetons per cell
crystal system: orthorhombic
excess energy over the best structure of this formula in the dataset: 15 meV/atom
DFT formation energy: -0.448 eV/atom
energy: -7.646 eV/atom
calculated volume: 54 Å³/f.u.

***

[3]
Density functional theory data (PBE-GGA) for an optimized crystal structure of SrCrCl2.

CIF file:
```
data_SrCrCl2
_cell_length_a 3.7524
_cell_length_b 4.5664
_cell_length_c 13.6621
_cell_angle_alpha 90.00
_cell_angle_beta 90.00
_cell_angle_gamma 90.00
_symmetry_space_group_name_H-M 'I m m 2'
_symmetry_Int_Tables_number 44
loop_
_symmetry_equiv_pos_as_xyz
'x,y,z'
'-x,-y,z'
'-x,y,z'
'x,-y,z'
'x+1/2,y+1/2,z+1/2'
'-x+1/2,-y+1/2,z+1/2'
'-x+1/2,y+1/2,z+1/2'
'x+1/2,-y+1/2,z+1/2'
loop_
_atom_site_label
_atom_site_fract_x
_atom_site_fract_y
_atom_site_fract_z
Sr1 0.0000 0.0000 0.0000
Cr1 0.0000 0.5000 0.2653
Cl1 0.0000 0.0000 0.4601
Cl2 0.0000 0.5000 0.6636
```

Output
total magnetization: 11.4 Bohr magnetons per cell
crystal system: orthorhombic
E_form (uncorrected): -835 meV per atom
excess energy over the best structure of this formula in the dataset: 83 meV/atom
energy: -4.585 eV/atom
calculated volume: 117 Å³/f.u.

***

[4]
Density functional theory data (PBE-GGA) for an optimized crystal structure of MgZr2Ir.

CIF file:
```
data_MgZr2Ir
_cell_length_a 3.7044
_cell_length_b 4.7951
_cell_length_c 8.9877
_cell_angle_alpha 90.00
_cell_angle_beta 90.00
_cell_angle_gamma 90.00
_symmetry_space_group_name_H-M 'I m m m'
_symmetry_Int_Tables_number 71
_symmetry_space_group_name_Hall '-I 2 2'
loop_
_atom_site_label
_atom_site_fract_x
_atom_site_fract_y
_atom_site_fract_z
Mg1 0.0000 0.0000 0.0000
Zr1 0.0000 0.5000 0.2169
Ir1 0.0000 0.0000 0.5000
```

Output
total magnetization: 0.0 Bohr magnetons per cell
crystal system: orthorhombic
DFT formation energy: -0.333 eV/atom
energy: -7.221 eV/atom
calculated volume: 80 Å³/f.u.